Material: RbLa2CuRh
Method: DFT, PBE-GGA
State: relaxed Values from VASP.

As for the space-group type: No. 123. The value obtained for the size of the total moment is 0.0 μB/cell. The raw total energy comes out at -4.23 eV per atom.

Structure (Quantum ESPRESSO input):
```
&SYSTEM
  ibrav = 0, nat = 5, ntyp = 4
/
ATOMIC_SPECIES
La 138.91 La.upf
Cu 63.55 Cu.upf
Rb 85.47 Rb.upf
Rh 102.91 Rh.upf
CELL_PARAMETERS angstrom
-2.4054 -2.0713 -4.3558
-3.1026 -3.0621 3.1695
-4.5090 4.7889 0.2128
ATOMIC_POSITIONS angstrom
La -1.2027 -1.0356 -2.1779
La -1.5513 -1.5311 1.5847
Cu -5.0085 -0.1723 -0.4868
Rb -2.2545 2.3944 0.1064
Rh 0.0000 0.0000 0.0000
```



Material: RbLaCu2Ru
Method: DFT, PBE-GGA
State: relaxed Values from VASP.

As for the space-group type: No. 123. The value obtained for the size of the total moment is 0.0 μB/cell. The raw total energy comes out at -3.79 eV per atom.

Structure (Quantum ESPRESSO input):
```
&SYSTEM
  ibrav = 0, nat = 5, ntyp = 4
/
ATOMIC_SPECIES
Ru 101.07 Ru.upf
La 138.91 La.upf
Cu 63.55 Cu.upf
Rb 85.47 Rb.upf
CELL_PARAMETERS angstrom
5.8016 0.0000 0.0000
0.0000 4.7851 0.0000
0.0000 0.0000 5.8016
ATOMIC_POSITIONS angstrom
Ru 0.0000 2.3925 0.0000
La 0.0000 0.0000 0.0000
Cu 2.9008 0.0000 0.0000
Cu 0.0000 0.0000 2.9008
Rb 2.9008 2.3925 2.9008
```



Material: RbLa2Cu2S4
Method: DFT, PBE-GGA
State: relaxed Values from VASP.

The value obtained for the formation energy (no corrections) is -1.2905 eV/atom. As for the space-group type: No. 12. The value obtained for the size of the total moment is 0.0 μB/cell. The raw total energy comes out at -5.24 eV per atom.

Structure (Quantum ESPRESSO input):
```
&SYSTEM
  ibrav = 0, nat = 9, ntyp = 4
/
ATOMIC_SPECIES
S 32.06 S.upf
Cu 63.55 Cu.upf
La 138.91 La.upf
Rb 85.47 Rb.upf
CELL_PARAMETERS angstrom
-1.5527 -3.5220 0.7356
9.4043 -2.6336 -3.1973
-3.4015 3.0852 7.5918
ATOMIC_POSITIONS angstrom
S -1.8307 -0.7934 2.7750
S 3.3858 -1.5091 -0.0787
S 6.2809 -2.2770 2.3551
S 1.0644 -1.5614 5.2088
Cu 1.8067 -3.0677 -0.4366
Cu 2.6434 -0.0027 5.5667
La -0.1843 1.0264 4.5253
La 4.6345 -4.0969 0.6047
Rb 0.0000 0.0000 0.0000
```



Material: RbLa2CuS4
Method: DFT, PBE-GGA
State: relaxed Values from VASP.

The value obtained for the formation energy (no corrections) is -1.7070 eV/atom. As for the space-group type: No. 63. The value obtained for the size of the total moment is 0.0 μB/cell. The raw total energy comes out at -5.64 eV per atom.

Structure (Quantum ESPRESSO input):
```
&SYSTEM
  ibrav = 0, nat = 16, ntyp = 4
/
ATOMIC_SPECIES
S 32.06 S.upf
Rb 85.47 Rb.upf
La 138.91 La.upf
Cu 63.55 Cu.upf
CELL_PARAMETERS angstrom
4.1753 0.0000 0.0000
-2.0877 7.2058 0.0000
0.0000 0.0000 14.2050
ATOMIC_POSITIONS angstrom
S 0.0000 3.7306 1.6121
S 0.0000 6.0723 10.6537
S 2.0877 3.4752 8.7146
S 0.0000 3.7306 5.4904
S 2.0877 3.4752 12.5928
S 0.0000 0.0000 7.1025
S 0.0000 0.0000 0.0000
S 2.0877 1.1334 3.5512
Rb 0.0000 1.5070 10.6537
Rb 2.0877 5.6988 3.5512
La 2.0877 1.9366 6.2420
La 2.0877 1.9366 0.8605
La 0.0000 5.2692 13.3444
La 0.0000 5.2692 7.9630
Cu 2.0877 4.8092 10.6537
Cu 0.0000 2.3966 3.5512
```



Material: RbLaCuS2
Method: DFT, PBE-GGA
State: relaxed Values from VASP.

The value obtained for the formation energy (no corrections) is -0.2210 eV/atom. As for the space-group type: No. 123. The value obtained for the size of the total moment is 0.7 μB/cell. The raw total energy comes out at -3.87 eV per atom.

Structure (Quantum ESPRESSO input):
```
&SYSTEM
  ibrav = 0, nat = 5, ntyp = 4
/
ATOMIC_SPECIES
La 138.91 La.upf
S 32.06 S.upf
Cu 63.55 Cu.upf
Rb 85.47 Rb.upf
CELL_PARAMETERS angstrom
-0.6050 -4.4435 2.2116
-0.0328 -2.2243 -4.4780
4.7609 -0.5336 0.2302
ATOMIC_POSITIONS angstrom
La 2.0616 -3.6007 -1.0181
S -0.3025 -2.2217 1.1058
S -0.0164 -1.1122 -2.2390
Cu 0.0000 0.0000 0.0000
Rb 2.3805 -0.2668 0.1151
```



Material: RbLaCuS2
Method: DFT, PBE-GGA
State: relaxed Values from VASP.

The value obtained for the formation energy (no corrections) is -1.1256 eV/atom. As for the space-group type: No. 13. The value obtained for the size of the total moment is 0.0 μB/cell. The raw total energy comes out at -4.77 eV per atom.

Structure (Quantum ESPRESSO input):
```
&SYSTEM
  ibrav = 0, nat = 10, ntyp = 4
/
ATOMIC_SPECIES
La 138.91 La.upf
Rb 85.47 Rb.upf
Cu 63.55 Cu.upf
S 32.06 S.upf
CELL_PARAMETERS angstrom
4.7742 0.0000 0.0000
0.0000 7.7251 0.3481
0.0000 -1.9719 8.1952
ATOMIC_POSITIONS angstrom
La 2.3346 -0.4930 2.0488
La 2.4396 -1.4789 6.1464
Rb 0.8373 2.3836 6.3205
Rb 3.9369 3.3695 2.2228
Cu 0.0000 0.0000 0.0000
Cu 0.0000 -0.9860 4.0976
S 1.4309 5.0854 4.0785
S 1.4309 1.6537 0.3672
S 3.3433 0.6678 4.4648
S 3.3433 4.0994 8.1761
```



> raw total energy of number 5 (RbLaCuS2)?

-3.87 eV per atom